Entry 1:
The following is a PBE-GGA calculation of crystalline ZrSb2Au at its relaxed geometry, from the Alexandria database.

Cell and atoms, written as POSCAR:
```
ZrSb2Au
1.0
-0.2439 1.3363 -3.5487
-0.1118 -3.5496 -1.3289
-6.3278 -3.5168 -0.8893
Sb Zr Au
2 1 1
Cartesian
-0.1236 -3.5476 -1.3274 Sb
-3.2080 -3.5351 -1.1107 Sb
-1.7319 -1.0984 -2.3289 Zr
-4.9517 -4.6316 -3.4381 Au
```

## Properties
The density of states at the Fermi level is 0.4124 states/eV per atom. The calculation puts the calculated volume at 89.79 Å³/cell. As for the formation energy without anion corrections: -0.30 eV per atom.

***

Entry 2:
The following is a PBE-GGA calculation of crystalline Ti7VGa4 at its relaxed geometry, from the Alexandria database.

Cell and atoms, written as POSCAR:
```
Ti7VGa4
1.0
4.6384 0.0000 0.0000
2.3192 7.3431 0.0628
2.3192 0.3739 6.0857
Ti Ga V
7 4 1
Cartesian
2.3192 0.0000 0.0000 Ti
2.3192 4.9912 1.2633 Ti
6.9575 6.6273 3.4703 Ti
6.9575 2.7258 4.8853 Ti
4.6384 4.7106 4.4439 Ti
2.3192 1.0898 2.6782 Ti
4.6384 3.0065 1.7046 Ti
4.6384 1.9147 3.9447 Ga
4.6384 5.8023 2.2039 Ga
6.9575 5.1864 5.7544 Ga
2.3192 2.5306 0.3942 Ga
0.0000 0.0000 0.0000 V
```

## Properties
Its total energy is -6.3542 eV/atom. The density of states at the Fermi level is 0.8359 states/eV per atom. The calculation puts the calculated volume at 207.17 Å³/cell.

***

Entry 3:
The following is a PBE-GGA calculation of crystalline PmMg2Ru at its relaxed geometry, from the Alexandria database.

Cell and atoms, written as POSCAR:
```
PmMg2Ru
1.0
5.4654 0.0000 0.0000
0.0000 8.3263 0.0000
0.0000 0.0000 15.6211
Ru Mg Pm
8 16 8
Cartesian
4.0525 6.2447 2.9279 Ru
5.1934 2.0816 1.0209 Ru
4.1456 6.2447 10.7385 Ru
3.0047 2.0816 8.8314 Ru
2.4607 6.2447 6.7897 Ru
1.3198 2.0816 4.8826 Ru
1.4129 2.0816 12.6932 Ru
0.2720 6.2447 14.6002 Ru
0.2634 7.8536 12.3339 Mg
2.9960 0.4727 11.0978 Mg
1.2668 0.4910 14.9830 Mg
1.2668 3.6721 14.9830 Mg
1.4659 0.4910 7.1724 Mg
3.9994 4.6542 8.4487 Mg
4.1986 4.6542 0.6381 Mg
2.4693 7.8536 4.5234 Mg
1.4659 3.6721 7.1724 Mg
2.9960 3.6905 11.0978 Mg
2.4693 4.6358 4.5234 Mg
5.2020 3.6905 3.2872 Mg
4.1986 7.8352 0.6381 Mg
0.2634 4.6358 12.3339 Mg
3.9994 7.8352 8.4487 Mg
5.2020 0.4727 3.2872 Mg
1.3590 6.2447 9.4813 Pm
4.0917 2.0816 13.9504 Pm
0.2993 2.0816 9.9900 Pm
2.4334 2.0816 2.1795 Pm
5.1660 6.2447 5.6311 Pm
3.0320 6.2447 13.4416 Pm
1.3737 6.2447 1.6707 Pm
4.1064 2.0816 6.1398 Pm
```

## Properties
The density of states at the Fermi level is 0.7386 states/eV per atom. The calculation puts the calculated volume at 710.86 Å³/cell. The energy above the lowest structure with this stoichiometry comes out at 0.0000 eV per atom.